No. 1
## CuAgSbO4 (PBE)

Data for a relaxed structure of CuAgSbO4.

Properties
Space-group type: Imma
VASP energy, eV per cell: -73.49
Magnetic moment, Bohr magnetons per cell: 1.962
DOS(E_F), states/eV/atom: 0.26

abc: 5.8198 6.6944 6.2429
angles: 117.79 90.00 115.76
Last column: nearest neighbours and their distance in Å.
Fractional positions:
Cu  0.5000  0.5000  0.5000  4 O 2.02
Cu  0.0000  0.5000  0.5000  4 O 2.02
Ag  0.8244  0.6489  0.0744  4 O 2.26-2.33
Ag  0.1756  0.3511  0.9256  4 O 2.26-2.33
Sb  0.5000  0.0000  0.5000  6 O 2.05
Sb  0.5000  0.0000  0.0000  6 O 2.05
O  0.6966  0.3931  0.6523  2 Cu 2.02, 1 Sb 2.05
O  0.2624  0.9796  0.2398  2 Sb 2.05
O  0.7173  0.9796  0.2398  2 Sb 2.05
O  0.6966  0.3931  0.2408  2 Cu 2.02, 1 Sb 2.05
O  0.3034  0.6069  0.7592  2 Cu 2.02, 1 Sb 2.05
O  0.7376  0.0204  0.7602  2 Sb 2.05
O  0.2827  0.0204  0.7602  2 Sb 2.05
O  0.3034  0.6069  0.3477  2 Cu 2.02, 1 Sb 2.05

No. 2
## Mg5In2PdPt2 (PBE)

Data for a relaxed structure of Mg5In2PdPt2.

Properties
Space-group type: P4/mbm
VASP energy, eV per cell: -71.89
Magnetic moment, Bohr magnetons per cell: 0.000
DOS(E_F), states/eV/atom: 0.34

abc: 3.2379 11.0284 11.0284
angles: 90.00 90.00 90.00
Last column: nearest neighbours and their distance in Å.
Fractional positions:
Mg  0.5000  0.1945  0.0499  2 Pt 2.65, 2 Pd 2.74
Mg  0.5000  0.8055  0.9501  2 Pt 2.65, 2 Pd 2.74
Mg  0.5000  0.0499  0.8055  2 Pt 2.65, 2 Pd 2.74
Mg  0.5000  0.6945  0.4501  2 Pt 2.65, 2 Pd 2.74
Mg  0.5000  0.9501  0.1945  2 Pt 2.65, 2 Pd 2.74
Mg  0.5000  0.3055  0.5499  2 Pt 2.65, 2 Pd 2.74
Mg  0.5000  0.5499  0.6945  2 Pt 2.65, 2 Pd 2.74
Mg  0.5000  0.4501  0.3055  2 Pt 2.65, 2 Pd 2.74
Mg  0.5000  0.5000  0.0000  4 Pt 2.67
Mg  0.5000  0.0000  0.5000  4 Pt 2.67
In  0.0000  0.6786  0.1786  1 Pt 2.89, 2 Mg 3.22, 2 In 3.24
In  0.0000  0.3214  0.8214  1 Pt 2.89, 2 Mg 3.22, 2 In 3.24
In  0.0000  0.1786  0.3214  1 Pt 2.89, 2 Mg 3.22, 2 In 3.24
In  0.0000  0.8214  0.6786  1 Pt 2.89, 2 Mg 3.22, 2 In 3.24
Pd  0.0000  0.0000  0.0000  8 Mg 2.74
Pd  0.0000  0.5000  0.5000  8 Mg 2.74
Pt  0.0000  0.1359  0.6359  6 Mg 2.65-2.67, 1 In 2.89
Pt  0.0000  0.8641  0.3641  6 Mg 2.65-2.67, 1 In 2.89
Pt  0.0000  0.6359  0.8641  6 Mg 2.65-2.67, 1 In 2.89
Pt  0.0000  0.3641  0.1359  6 Mg 2.65-2.67, 1 In 2.89

No. 3
## Cd4InHg2 (PBE)

Data for a relaxed structure of Cd4InHg2.

Properties
ΔE to the lowest computed polymorph, meV/atom: 165
Space-group type: I4/mmm
Magnetic moment, Bohr magnetons per cell: 0.000
DOS(E_F), states/eV/atom: 0.20

abc: 5.6343 5.6343 8.3619
angles: 109.69 109.69 90.00
Last column: nearest neighbours and their distance in Å.
Fractional positions:
Cd  0.8013  0.8013  0.6025  1 Hg 2.85, 1 In 2.92
Cd  0.1987  0.1987  0.3975  1 Hg 2.85, 1 In 2.92
Cd  0.0000  0.5000  0.0000  2 In 2.82
Cd  0.5000  0.0000  0.0000  2 In 2.82
In  0.0000  0.0000  0.0000  6 Cd 2.82-2.92
Hg  0.6075  0.6075  0.2149  1 Cd 2.85, 1 Hg 3.16
Hg  0.3925  0.3925  0.7851  1 Cd 2.85, 1 Hg 3.16